No. 1
Computed, not measured: a relaxed Ta11Ir9Rh4 crystal at the GGA-PBE level of DFT.

* N(E_F): 16.9 states/eV per cell
* total magnetization: 0.00 μB/f.u.
* total DFT energy (no corrections): -10.483 eV per atom

```
24
Lattice="6.3628 -10.3301 0.0000 6.3628 10.3301 0.0000 0.0000 0.0000 2.9497" Properties=species:S:1:pos:R:3 pbc="T T T"
Ta 0.0000 0.0000 0.0000
Ta 2.7539 3.6870 0.0000
Ta 6.3628 6.6944 0.0000
Ta 3.4488 0.0000 0.0000
Ta 6.3628 2.6235 0.0000
Ta 2.7539 -3.6870 0.0000
Ta 9.9718 3.6870 0.0000
Ta 6.3628 -2.6235 0.0000
Ta 9.2769 0.0000 0.0000
Ta 6.3628 -6.6944 0.0000
Ta 9.9718 -3.6870 0.0000
Ir 1.5255 1.6092 1.4748
Ir 4.9400 4.6963 1.4748
Ir 1.5255 -1.6092 1.4748
Ir 7.7857 4.6963 1.4748
Ir 6.3628 0.0000 1.4748
Ir 4.9400 -4.6963 1.4748
Ir 11.2002 1.6092 1.4748
Ir 7.7857 -4.6963 1.4748
Ir 11.2002 -1.6092 1.4748
Rh 4.2848 1.9804 1.4748
Rh 4.2848 -1.9804 1.4748
Rh 8.4409 1.9804 1.4748
Rh 8.4409 -1.9804 1.4748
```

No. 2
Computed, not measured: a relaxed TaIr2Rh crystal at the GGA-PBE level of DFT.

* N(E_F): 8.2 states/eV per cell
* total magnetization: 0.00 μB/f.u.
* distance to the lowest polymorph of the same formula: 310 meV per atom
* total DFT energy (no corrections): -9.583 eV per atom

```
8
Lattice="9.2548 0.0000 0.0000 0.0000 2.8065 0.0000 -0.8622 0.0000 4.6892" Properties=species:S:1:pos:R:3 pbc="T T T"
Ta 0.0000 0.0000 0.0000
Ta 4.6274 1.4033 0.0000
Ir 2.0687 1.4033 1.1900
Ir 1.6965 0.0000 3.4992
Ir 6.6961 0.0000 1.1900
Ir 6.3239 1.4033 3.4992
Rh -0.4311 1.4033 2.3446
Rh 4.1963 0.0000 2.3446
```

No. 3
Computed, not measured: a relaxed Ta3Ir3Rh crystal at the GGA-PBE level of DFT.

* N(E_F): 20.2 states/eV per cell
* total magnetization: 0.00 μB/f.u.
* total DFT energy (no corrections): -10.344 eV per atom

```
28
Lattice="7.7803 0.0000 0.0000 0.0000 7.7803 0.0000 0.0000 0.0000 7.7803" Properties=species:S:1:pos:R:3 pbc="T T T"
Ta 0.2907 2.4115 6.7896
Ta 0.9906 4.1808 1.4786
Ta 1.4786 0.9906 4.1808
Ta 2.4115 6.7896 0.2907
Ta 2.8995 3.5995 5.3687
Ta 3.5995 5.3687 2.8995
Ta 4.1808 1.4786 0.9906
Ta 4.8808 7.4896 6.3017
Ta 5.3687 2.8995 3.5995
Ta 6.3017 4.8808 7.4896
Ta 6.7896 0.2907 2.4115
Ta 7.4896 6.3017 4.8808
Ir 1.0310 4.9212 6.7492
Ir 1.2540 6.5262 2.6361
Ir 1.2981 1.2981 1.2981
Ir 2.5920 6.4822 5.1882
Ir 2.6361 1.2540 6.5262
Ir 2.8591 2.8591 2.8591
Ir 4.9212 6.7492 1.0310
Ir 5.1441 5.1441 5.1441
Ir 5.1882 2.5920 6.4822
Ir 6.4822 5.1882 2.5920
Ir 6.5262 2.6361 1.2540
Ir 6.7492 1.0310 4.9212
Rh 0.2805 3.6096 4.1706
Rh 3.6096 4.1706 0.2805
Rh 4.1706 0.2805 3.6096
Rh 7.4998 7.4998 7.4998
```

No. 4
Computed, not measured: a relaxed TaIr2Rh crystal at the GGA-PBE level of DFT.

* N(E_F): 3.1 states/eV per cell
* total magnetization: 0.00 μB/f.u.
* distance to the lowest polymorph of the same formula: 276 meV per atom
* total DFT energy (no corrections): -9.618 eV per atom

```
4
Lattice="2.8017 0.0000 0.0000 0.0000 3.8921 0.0000 0.0000 0.0000 5.5771" Properties=species:S:1:pos:R:3 pbc="T T T"
Ta 0.0000 0.0000 0.0000
Ir 0.0000 0.0000 2.7957
Ir 1.4008 1.9460 1.4483
Rh 1.4008 1.9460 4.1408
```

No. 5
Computed, not measured: a relaxed TaIr2Rh crystal at the GGA-PBE level of DFT.

* N(E_F): 11.2 states/eV per cell
* total magnetization: 0.00 μB/f.u.
* distance to the lowest polymorph of the same formula: 546 meV per atom
* total DFT energy (no corrections): -9.347 eV per atom

```
12
Lattice="2.7935 0.0000 0.0000 -1.3967 2.4192 0.0000 0.0000 0.0000 27.1464" Properties=species:S:1:pos:R:3 pbc="T T T"
Ta 0.0000 0.0000 0.0000
Ta 0.0000 1.6128 18.0976
Ta 1.3967 0.8064 9.0488
Ir 0.0000 0.0000 13.5832
Ir 0.0000 0.0000 20.4156
Ir 0.0000 1.6128 4.5343
Ir 0.0000 1.6128 11.3668
Ir 1.3967 0.8064 2.3180
Ir 1.3967 0.8064 22.6320
Rh 0.0000 0.0000 6.7582
Rh 0.0000 1.6128 24.8557
Rh 1.3967 0.8064 15.8069
```

No. 6
Computed, not measured: a relaxed TaIr2Rh crystal at the GGA-PBE level of DFT.

* N(E_F): 15.2 states/eV per cell
* total magnetization: 0.00 μB/f.u.
* distance to the lowest polymorph of the same formula: 728 meV per atom
* total DFT energy (no corrections): -9.165 eV per atom

```
16
Lattice="3.8161 0.0000 0.0000 0.0000 3.8161 0.0000 0.0000 0.0000 18.2545" Properties=species:S:1:pos:R:3 pbc="T T T"
Ta 0.0000 0.0000 0.0000
Ta 0.0000 1.9081 4.5636
Ta 1.9081 0.0000 13.6909
Ta 1.9081 1.9081 9.1273
Ir 0.8805 0.9540 11.4091
Ir 0.9540 2.7885 15.9727
Ir 0.9540 2.9356 6.8454
Ir 1.0276 0.9540 2.2818
Ir 2.7885 2.8621 2.2818
Ir 2.8621 0.8805 6.8454
Ir 2.8621 1.0276 15.9727
Ir 2.9356 2.8621 11.4091
Rh 0.0000 0.0000 9.1273
Rh 0.0000 1.9081 13.6909
Rh 1.9081 0.0000 4.5636
Rh 1.9081 1.9081 0.0000
```

- Look up the N(E_F) of the second one.
  8.2 states/eV per cell

- total magnetization of number 2 (TaIr2Rh)?
  0.00 μB/f.u.